## LaMoN2F (GGA+U)

Data for a geometry-optimized LaMoN2F structure.

DOS(E_F)	1.11	states/eV/cell
V	13.72	Å³/atom
energy above the lowest structure with this stoichiometry	0.0000	eV per atom
symmetry	P4/mmm

```
LaMoN2F
1.0
-3.7838 1.2968 -0.7451
-1.3423 -3.8385 0.1359
-0.6720 0.3792 4.0721
N Mo F La
2 1 1 1
direct
0.0000 0.5000 0.0000 N
0.5000 0.0000 0.0000 N
0.0000 0.0000 0.0000 Mo
0.0000 0.0000 0.5000 F
0.5000 0.5000 0.5000 La
```